[1]
# Ca2AgO3 | Alexandria | GGA-PBE | optimized geometry
data_Ca2AgO3
_chemical_formula_sum 'Ca4 Ag2 O6'
_space_group_name_H-M_alt 'P 1'
_space_group_IT_number 1
_cell_length_a 10.466
_cell_length_b 4.698
_cell_length_c 3.489
_cell_angle_alpha 90.00
_cell_angle_beta 101.88
_cell_angle_gamma 90.00
loop_
_space_group_symop_operation_xyz
'x,y,z'
loop_
_atom_site_label
_atom_site_type_symbol
_atom_site_fract_x
_atom_site_fract_y
_atom_site_fract_z
_atom_site_occupancy
Ca1 Ca 0.166 0.000 0.160 1
Ca2 Ca 0.334 0.500 0.840 1
Ca3 Ca 0.666 0.500 0.160 1
Ca4 Ca 0.834 0.000 0.840 1
Ag1 Ag 0.000 0.500 0.500 1
Ag2 Ag 0.500 0.000 0.500 1
O1 O 0.000 0.000 0.500 1
O2 O 0.176 0.500 0.246 1
O3 O 0.324 0.000 0.754 1
O4 O 0.500 0.500 0.500 1
O5 O 0.676 0.000 0.246 1
O6 O 0.824 0.500 0.754 1
# Calculated total energy = -5.61 eV per atom
# Density = 4.7 g cm⁻³
# Energy relative to the elements, uncorrected = -1986.5 meV per atom
# Magnetic moment = 0.00 μB/f.u.
# Density of states at the Fermi level = 5.5 states/eV per cell



[2]
# TaPb2Au | Alexandria | GGA-PBE | optimized geometry
data_TaPb2Au
_chemical_formula_sum 'Ta2 Pb4 Au2'
_space_group_name_H-M_alt 'P 1'
_space_group_IT_number 1
_cell_length_a 3.753
_cell_length_b 5.069
_cell_length_c 9.783
_cell_angle_alpha 90.00
_cell_angle_beta 90.00
_cell_angle_gamma 90.00
loop_
_space_group_symop_operation_xyz
'x,y,z'
loop_
_atom_site_label
_atom_site_type_symbol
_atom_site_fract_x
_atom_site_fract_y
_atom_site_fract_z
_atom_site_occupancy
Ta1 Ta 0.000 0.000 0.000 1
Ta2 Ta 0.500 0.500 0.000 1
Pb1 Pb 0.000 0.500 0.244 1
Pb2 Pb 0.000 0.500 0.756 1
Pb3 Pb 0.500 0.000 0.244 1
Pb4 Pb 0.500 0.000 0.756 1
Au1 Au 0.000 0.000 0.500 1
Au2 Au 0.500 0.500 0.500 1
# Calculated total energy = -5.16 eV per atom
# Density = 14.1 g cm⁻³
# Magnetic moment = 0.00 μB/f.u.
# Distance to the lowest polymorph of the same formula = 1.25 eV per formula unit
# Density of states at the Fermi level = 5.5 states/eV per cell
# Energy of formation = 473 meV/atom



[3]
# Cs4AuBr2Cl | Alexandria | GGA-PBE | optimized geometry
data_Cs4AuBr2Cl
_chemical_formula_sum 'Cs4 Au1 Br2 Cl1'
_space_group_name_H-M_alt 'P 1'
_space_group_IT_number 1
_cell_length_a 8.958
_cell_length_b 5.164
_cell_length_c 8.981
_cell_angle_alpha 90.00
_cell_angle_beta 109.34
_cell_angle_gamma 90.00
loop_
_space_group_symop_operation_xyz
'x,y,z'
loop_
_atom_site_label
_atom_site_type_symbol
_atom_site_fract_x
_atom_site_fract_y
_atom_site_fract_z
_atom_site_occupancy
Cs1 Cs 0.243 0.000 0.243 1
Cs2 Cs 0.248 0.500 0.755 1
Cs3 Cs 0.752 0.500 0.245 1
Cs4 Cs 0.757 0.000 0.757 1
Au1 Au 0.000 0.000 0.500 1
Br1 Br 0.500 0.000 0.000 1
Br2 Br 0.500 0.500 0.500 1
Cl1 Cl 0.000 0.500 0.000 1
# Calculated total energy = -2.95 eV per atom
# Density = 3.9 g cm⁻³
# Energy relative to the elements, uncorrected = -1461.8 meV per atom
# Magnetic moment = 0.00 μB/f.u.
# Density of states at the Fermi level = 0.0 states/eV per cell



[4]
# PrH8Ir2Rh | Alexandria | GGA-PBE | optimized geometry
data_PrH8Ir2Rh
_chemical_formula_sum 'Pr1 H8 Ir2 Rh1'
_space_group_name_H-M_alt 'P 1'
_space_group_IT_number 1
_cell_length_a 6.210
_cell_length_b 6.210
_cell_length_c 6.210
_cell_angle_alpha 45.26
_cell_angle_beta 45.26
_cell_angle_gamma 45.26
loop_
_space_group_symop_operation_xyz
'x,y,z'
loop_
_atom_site_label
_atom_site_type_symbol
_atom_site_fract_x
_atom_site_fract_y
_atom_site_fract_z
_atom_site_occupancy
Pr1 Pr 0.000 0.000 0.000 1
H1 H 0.139 0.434 0.740 1
H2 H 0.260 0.861 0.566 1
H3 H 0.315 0.315 0.315 1
H4 H 0.434 0.740 0.139 1
H5 H 0.566 0.260 0.861 1
H6 H 0.685 0.685 0.685 1
H7 H 0.740 0.139 0.434 1
H8 H 0.861 0.566 0.260 1
Ir1 Ir 0.218 0.218 0.218 1
Ir2 Ir 0.782 0.782 0.782 1
Rh1 Rh 0.500 0.500 0.500 1
# Calculated total energy = -4.87 eV per atom
# Density = 9.6 g cm⁻³
# Magnetic moment = 0.00 μB/f.u.
# Density of states at the Fermi level = 5.1 states/eV per cell



Look up the density of the first one. 4.7 g cm⁻³



Among the records above, which one has the lowest density? Cs4AuBr2Cl